Entry 1:
## CsUAgCl6 (PBE)

Data for a relaxed structure of CsUAgCl6.

Space-group type = Imma (74)
Formation energy (no corrections) = -1.5094 eV/atom

Cell: 10.163 10.163 10.163 Å, 130.10 116.15 85.13°
Sites, in units of the cell vectors:
Cs 0.306 0.056 0.250
Cs 0.694 0.944 0.750
U 0.000 0.500 0.500
U 0.500 0.500 0.000
Ag 0.000 0.000 0.500
Ag 0.000 0.500 0.000
Cl 0.075 0.825 0.250
Cl 0.152 0.404 0.318
Cl 0.152 0.833 0.747
Cl 0.208 0.458 0.750
Cl 0.414 0.167 0.818
Cl 0.414 0.596 0.247
Cl 0.586 0.404 0.753
Cl 0.586 0.833 0.182
Cl 0.792 0.542 0.250
Cl 0.848 0.167 0.253
Cl 0.848 0.596 0.682
Cl 0.925 0.175 0.750

=====

Entry 2:
## CsUAg2Cl8 (PBE)

Data for a relaxed structure of CsUAg2Cl8.

Space-group type = P-3m1 (164)
Formation energy (no corrections) = -1.2447 eV/atom

Cell: 7.152 7.152 9.750 Å, 90.00 90.00 120.00°
Sites, in units of the cell vectors:
Cs 0.000 0.000 0.000
U 0.000 0.000 0.500
Ag 0.333 0.667 0.172
Ag 0.667 0.333 0.828
Cl 0.164 0.328 0.345
Cl 0.164 0.836 0.345
Cl 0.328 0.164 0.655
Cl 0.333 0.667 0.928
Cl 0.667 0.333 0.072
Cl 0.672 0.836 0.345
Cl 0.836 0.164 0.655
Cl 0.836 0.672 0.655

=====

Entry 3:
## CsVAg2Cl6 (PBE)

Data for a relaxed structure of CsVAg2Cl6.

Space-group type = P-1 (2)
Formation energy (no corrections) = -1.0713 eV/atom

Cell: 6.775 6.789 8.806 Å, 67.77 67.73 60.12°
Sites, in units of the cell vectors:
Cs 0.000 0.000 0.000
V 0.500 0.500 0.500
Ag 0.183 0.179 0.461
Ag 0.817 0.821 0.539
Cl 0.156 0.739 0.672
Cl 0.267 0.564 0.323
Cl 0.431 0.159 0.676
Cl 0.569 0.841 0.324
Cl 0.733 0.436 0.677
Cl 0.844 0.261 0.328

=====

Entry 4:
## Cs2VAgCl6 (PBE)

Data for a relaxed structure of Cs2VAgCl6.

Space-group type = I4/mmm (139)
Formation energy (no corrections) = -1.4027 eV/atom

Cell: 7.353 7.353 7.353 Å, 119.96 119.96 90.07°
Sites, in units of the cell vectors:
Cs 0.250 0.750 0.500
Cs 0.750 0.250 0.500
V 0.000 0.000 0.000
Ag 0.500 0.500 0.000
Cl 0.232 0.232 0.464
Cl 0.232 0.768 0.000
Cl 0.233 0.233 0.000
Cl 0.767 0.767 0.000
Cl 0.768 0.232 0.000
Cl 0.768 0.768 0.536

=====

Entry 5:
## CsVAg2Cl8 (PBE)

Data for a relaxed structure of CsVAg2Cl8.

Space-group type = P-1 (2)
Formation energy (no corrections) = -0.9709 eV/atom

Cell: 6.333 7.138 8.656 Å, 76.45 83.58 87.64°
Sites, in units of the cell vectors:
Cs 0.000 0.000 0.000
V 0.000 0.500 0.500
Ag 0.496 0.517 0.802
Ag 0.504 0.483 0.198
Cl 0.076 0.515 0.754
Cl 0.167 0.781 0.397
Cl 0.316 0.329 0.467
Cl 0.484 0.228 0.031
Cl 0.516 0.772 0.969
Cl 0.684 0.671 0.533
Cl 0.833 0.219 0.603
Cl 0.924 0.485 0.246

=====

Entry 6:
## CsV2AgCl8 (PBE)

Data for a relaxed structure of CsV2AgCl8.

Space-group type = P-3 (147)
Formation energy (no corrections) = -1.1971 eV/atom

Cell: 6.706 6.706 9.746 Å, 90.00 90.00 120.00°
Sites, in units of the cell vectors:
Cs 0.000 0.000 0.000
V 0.333 0.667 0.739
V 0.667 0.333 0.261
Ag 0.000 0.000 0.500
Cl 0.022 0.337 0.674
Cl 0.315 0.978 0.674
Cl 0.333 0.667 0.968
Cl 0.337 0.315 0.326
Cl 0.663 0.685 0.674
Cl 0.667 0.333 0.032
Cl 0.685 0.022 0.326
Cl 0.978 0.663 0.326